Below is a relaxed Tm2FeCo crystal, with properties calculated at the GGA-PBE level.

Energy relative to the lowest polymorph listed for this composition, meV/atom: 0
Energy of formation from the pure elements, eV/atom: -0.047
Fermi-level density of states, states/eV/cell: 5.893
Space-group type: P4/mmm, No. 123
Theoretical density, g cm⁻³: 10.24
V, Å³/atom: 18.34

Geometry as POSCAR:
```
Tm2FeCo
1.0
-2.027 -1.851 1.851
1.377 -2.745 -1.237
4.501 0.026 4.954
Co Tm Fe
1 2 1
Cartesian
-0.325 -2.298 0.307
3.403 0.019 3.745
1.098 0.006 1.208
1.926 -2.285 2.784
```